The following is a DFT calculation (PBE) of TiMn2GeH after structural relaxation.

Fermi-level density of states   1.89 states/eV/cell
Crystal system   tetragonal
Raw total energy   -7.105 eV/atom
Space group   P4/mmm (123)
Calculated volume   54.9 Å³ per cell

Cell lengths 3.8012, 3.8028, 3.8012 Å; angles 90.00, 90.00, 90.00 degrees
With the nearest neighbours (Å) after each atom.
Element x y z (fractional)
1 Ti 0.0000 0.5000 0.0000  2 H 1.90
2 Ge 0.5000 0.5000 0.5000  4 Ti 2.69, 8 Mn 2.69
3 Mn 0.5000 0.0000 0.0000  2 H 1.90
4 Mn 0.0000 0.0000 0.5000  2 H 1.90
5 H 0.0000 0.0000 0.0000  4 Mn 1.90, 2 Ti 1.90